Record 1
{
  "formula": "Th8SiAs4Se3",
  "functional": "PBE",
  "state": "relaxed",
  "lattice_angstrom": [[8.482, 0.000, 0.000], [0.000, 8.478, -0.007], [-4.241, -4.237, 6.000]],
  "species": ["Th", "Th", "Th", "Th", "Th", "Th", "Th", "Th", "Si", "As", "As", "As", "As", "Se", "Se", "Se"],
  "fractional_positions": [[0.247, 0.751, 0.004], [0.247, 0.751, 0.494], [0.248, 0.244, 0.496], [0.757, 0.751, 0.004], [0.243, 0.249, 0.996], [0.752, 0.756, 0.504], [0.753, 0.249, 0.506], [0.753, 0.249, 0.996], [0.000, 0.500, 0.000], [0.500, 0.000, 0.000], [0.500, 0.000, 0.500], [0.000, 0.000, 0.000], [0.000, 0.000, 0.500], [0.500, 0.500, 0.000], [0.500, 0.500, 0.500], [0.000, 0.500, 0.500]],
  "space_group": "R-3m",
  "energy_ev_per_atom": -7.262,
  "raw_formation_energy_ev_per_atom": -1.40
}

***

Record 2
{
  "formula": "Mg2InRu",
  "functional": "PBE",
  "state": "relaxed",
  "lattice_angstrom": [[-0.320, 1.276, 3.902], [-3.952, -1.208, 0.071], [1.190, -3.812, 1.344]],
  "species": ["In", "Mg", "Mg", "Ru"],
  "fractional_positions": [[0.000, 0.500, 0.500], [0.000, 0.000, 0.000], [0.500, 0.500, 0.000], [0.500, 0.000, 0.500]],
  "e_form_mev_per_atom": -25,
  "space_group": "Pmmm",
  "energy_ev_per_atom": -3.826
}

***

Number 1: magnetization 0.00 μB/f.u.. Number 2: magnetization 0.00 μB/f.u..